! HfTaPS2 PBE optimized geometry; values from VASP
! **Uncorrected formation energy**: 0.05 eV per atom
&SYSTEM
  ibrav = 0, nat = 5, ntyp = 4
/
ATOMIC_SPECIES
Hf 178.49 Hf.upf
Ta 180.95 Ta.upf
P 30.97 P.upf
S 32.06 S.upf
ATOMIC_POSITIONS crystal
Hf 0.000 0.000 0.000
Ta 0.500 0.500 0.500
P 0.500 0.500 0.000
S 0.000 0.500 0.500
S 0.500 0.000 0.500
CELL_PARAMETERS angstrom
4.647 0.000 0.000
0.000 4.647 0.000
0.000 0.000 4.907

***

! TlCd3Au3 PBE optimized geometry; values from VASP
! **Energy relative to the elements**: 190 meV per atom
&SYSTEM
  ibrav = 0, nat = 14, ntyp = 3
/
ATOMIC_SPECIES
Tl 204.38 Tl.upf
Cd 112.41 Cd.upf
Au 196.97 Au.upf
ATOMIC_POSITIONS crystal
Tl 0.000 0.000 0.000
Tl 0.500 0.500 0.500
Cd 0.000 0.250 0.500
Cd 0.000 0.750 0.500
Cd 0.250 0.500 0.000
Cd 0.500 0.000 0.250
Cd 0.500 0.000 0.750
Cd 0.750 0.500 0.000
Au 0.000 0.500 0.250
Au 0.000 0.500 0.750
Au 0.250 0.000 0.500
Au 0.500 0.250 0.000
Au 0.500 0.750 0.000
Au 0.750 0.000 0.500
CELL_PARAMETERS angstrom
7.690 0.000 0.000
0.000 7.690 0.000
0.000 0.000 7.690

***

! RbTaPb3 PBE optimized geometry; values from VASP
! **Energy relative to the elements**: 2179 meV per atom
&SYSTEM
  ibrav = 0, nat = 5, ntyp = 3
/
ATOMIC_SPECIES
Rb 85.47 Rb.upf
Ta 180.95 Ta.upf
Pb 207.20 Pb.upf
ATOMIC_POSITIONS crystal
Rb 0.000 0.000 0.000
Ta 0.500 0.500 0.500
Pb 0.000 0.000 0.500
Pb 0.000 0.500 0.000
Pb 0.500 0.000 0.000
CELL_PARAMETERS angstrom
5.827 0.000 0.000
0.000 5.827 0.000
0.000 0.000 5.827

***

! PuMoP2 PBE optimized geometry; values from VASP
! **Energy relative to the elements**: -725 meV per atom
&SYSTEM
  ibrav = 0, nat = 4, ntyp = 3
/
ATOMIC_SPECIES
Pu 244.00 Pu.upf
Mo 95.94 Mo.upf
P 30.97 P.upf
ATOMIC_POSITIONS crystal
Pu 0.000 0.000 0.000
Mo 0.826 0.826 0.826
P 0.425 0.425 0.425
P 0.565 0.565 0.565
CELL_PARAMETERS angstrom
1.784 1.030 6.658
-1.784 1.030 6.658
0.000 -2.059 6.658

***

! Dy3Tm2Au3 PBE optimized geometry; values from VASP
! **Energy relative to the elements**: -645 meV per atom
&SYSTEM
  ibrav = 0, nat = 8, ntyp = 3
/
ATOMIC_SPECIES
Dy 162.50 Dy.upf
Tm 168.93 Tm.upf
Au 196.97 Au.upf
ATOMIC_POSITIONS crystal
Dy 0.000 0.000 0.000
Dy 0.382 0.882 0.500
Dy 0.618 0.118 0.500
Tm 0.229 0.229 0.000
Tm 0.771 0.771 0.000
Au 0.120 0.620 0.500
Au 0.500 0.500 0.000
Au 0.880 0.380 0.500
CELL_PARAMETERS angstrom
-1.806 2.591 10.693
1.806 -2.591 10.693
1.806 2.591 -10.693